1.
First-principles (PBE-GGA) data for a geometry-optimized LaCr3N structure, as listed in Alexandria via LeMat-Bulk.

Computed properties:
Raw formation energy   0.238 eV/atom
Crystal system   cubic

The structure in CIF format:
```
data_LaCr3N
_symmetry_space_group_name_H-M 'P m -3 m'
_symmetry_Int_Tables_number 221
_symmetry_space_group_name_Hall '-P 4 2 3'
_cell_length_a 4.122
_cell_length_b 4.122
_cell_length_c 4.122
_cell_angle_alpha 90.00
_cell_angle_beta 90.00
_cell_angle_gamma 90.00
loop_
_atom_site_label
_atom_site_fract_x
_atom_site_fract_y
_atom_site_fract_z
La1 0.000 0.000 0.000
Cr1 0.000 0.500 0.500
N1 0.500 0.500 0.500
```


2.
First-principles (PBE-GGA) data for a geometry-optimized Pr6P4S structure, as listed in Alexandria via LeMat-Bulk.

Computed properties:
Raw formation energy   -1.439 eV/atom
Crystal system   orthorhombic

The structure in CIF format:
```
data_Pr6P4S
_symmetry_space_group_name_H-M 'C m c m'
_symmetry_Int_Tables_number 63
_symmetry_space_group_name_Hall '-C 2c 2'
_cell_length_a 4.145
_cell_length_b 13.805
_cell_length_c 20.905
_cell_angle_alpha 90.00
_cell_angle_beta 90.00
_cell_angle_gamma 90.00
loop_
_atom_site_label
_atom_site_fract_x
_atom_site_fract_y
_atom_site_fract_z
Pr1 0.000 0.000 0.000
Pr2 0.000 0.187 0.250
Pr3 0.000 0.277 0.580
Pr4 0.000 0.456 0.163
P1 0.000 0.090 0.130
P2 0.000 0.363 0.044
S1 0.000 0.162 0.750
```


3.
First-principles (PBE-GGA) data for a geometry-optimized BiSb2HI structure, as listed in Alexandria via LeMat-Bulk.

Computed properties:
Electronic total energy   -2.9199 eV/atom
Crystal system   tetragonal

The structure in CIF format:
```
data_BiSb2HI
_symmetry_space_group_name_H-M 'P 4/m m m'
_symmetry_Int_Tables_number 123
_symmetry_space_group_name_Hall '-P 4 2'
_cell_length_a 6.230
_cell_length_b 6.230
_cell_length_c 3.787
_cell_angle_alpha 90.00
_cell_angle_beta 90.00
_cell_angle_gamma 90.00
loop_
_atom_site_label
_atom_site_fract_x
_atom_site_fract_y
_atom_site_fract_z
Bi1 0.000 0.000 0.000
Sb1 0.000 0.500 0.000
H1 0.000 0.000 0.500
I1 0.500 0.500 0.500
```


4.
First-principles (PBE-GGA) data for a geometry-optimized TlCoTc structure, as listed in Alexandria via LeMat-Bulk.

Computed properties:
Calculated formation energy   0.50 eV per atom
Crystal system   tetragonal

The structure in CIF format:
```
data_TlCoTc
_symmetry_space_group_name_H-M 'I 4 m m'
_symmetry_Int_Tables_number 107
_symmetry_space_group_name_Hall 'I 4 -2'
_cell_length_a 2.889
_cell_length_b 2.889
_cell_length_c 11.454
_cell_angle_alpha 90.00
_cell_angle_beta 90.00
_cell_angle_gamma 90.00
loop_
_atom_site_label
_atom_site_fract_x
_atom_site_fract_y
_atom_site_fract_z
Tl1 0.000 0.000 0.000
Co1 0.000 0.000 0.680
Tc1 0.000 0.000 0.304
```


5.
First-principles (PBE-GGA) data for a geometry-optimized TbDyIrPt structure, as listed in Alexandria via LeMat-Bulk.

Computed properties:
Calculated formation energy   -1.03 eV per atom
Crystal system   tetragonal

The structure in CIF format:
```
data_TbDyIrPt
_symmetry_space_group_name_H-M 'P 4 m m'
_symmetry_Int_Tables_number 99
_symmetry_space_group_name_Hall 'P 4 -2'
_cell_length_a 3.464
_cell_length_b 3.464
_cell_length_c 6.953
_cell_angle_alpha 90.00
_cell_angle_beta 90.00
_cell_angle_gamma 90.00
loop_
_atom_site_label
_atom_site_fract_x
_atom_site_fract_y
_atom_site_fract_z
Tb1 0.000 0.000 0.000
Dy1 0.000 0.000 0.515
Ir1 0.500 0.500 0.756
Pt1 0.500 0.500 0.260
```


6.
First-principles (PBE-GGA) data for a geometry-optimized P2RhS2 structure, as listed in Alexandria via LeMat-Bulk.

Computed properties:
Raw formation energy   0.872 eV/atom
Crystal system   tetragonal

The structure in CIF format:
```
data_P2RhS2
_symmetry_space_group_name_H-M 'P 4/m m m'
_symmetry_Int_Tables_number 123
_symmetry_space_group_name_Hall '-P 4 2'
_cell_length_a 4.366
_cell_length_b 4.366
_cell_length_c 4.421
_cell_angle_alpha 90.00
_cell_angle_beta 90.00
_cell_angle_gamma 90.00
loop_
_atom_site_label
_atom_site_fract_x
_atom_site_fract_y
_atom_site_fract_z
P1 0.000 0.000 0.000
P2 0.000 0.000 0.500
Rh1 0.500 0.500 0.000
S1 0.000 0.500 0.500
```


7.
First-principles (PBE-GGA) data for a geometry-optimized PrTm5Sc2 structure, as listed in Alexandria via LeMat-Bulk.

Computed properties:
Calculated formation energy   0.03 eV per atom
Crystal system   orthorhombic

The structure in CIF format:
```
data_PrTm5Sc2
_symmetry_space_group_name_H-M 'P b a m'
_symmetry_Int_Tables_number 55
_symmetry_space_group_name_Hall '-P 2 2ab'
_cell_length_a 11.170
_cell_length_b 12.033
_cell_length_c 6.977
_cell_angle_alpha 90.00
_cell_angle_beta 90.00
_cell_angle_gamma 90.00
loop_
_atom_site_label
_atom_site_fract_x
_atom_site_fract_y
_atom_site_fract_z
Pr1 0.247 0.079 0.000
Tm1 0.000 0.248 0.000
Tm2 0.000 0.500 0.255
Tm3 0.001 0.247 0.500
Tm4 0.249 0.833 0.255
Sc1 0.000 0.000 0.258
Sc2 0.247 0.083 0.500
```


8.
First-principles (PBE-GGA) data for a geometry-optimized CrSiAu2 structure, as listed in Alexandria via LeMat-Bulk.

Computed properties:
Raw formation energy   0.291 eV/atom
Crystal system   tetragonal

The structure in CIF format:
```
data_CrSiAu2
_symmetry_space_group_name_H-M 'I -4 2 d'
_symmetry_Int_Tables_number 122
_symmetry_space_group_name_Hall 'I -4 2bw'
_cell_length_a 3.844
_cell_length_b 3.844
_cell_length_c 18.995
_cell_angle_alpha 90.00
_cell_angle_beta 90.00
_cell_angle_gamma 90.00
loop_
_atom_site_label
_atom_site_fract_x
_atom_site_fract_y
_atom_site_fract_z
Cr1 0.000 0.000 0.000
Si1 0.000 0.000 0.500
Au1 0.247 0.250 0.625
```


9.
First-principles (PBE-GGA) data for a geometry-optimized Sn2AsRh structure, as listed in Alexandria via LeMat-Bulk.

Computed properties:
Calculated formation energy   0.04 eV per atom
Crystal system   tetragonal

The structure in CIF format:
```
data_Sn2AsRh
_symmetry_space_group_name_H-M 'I -4 2 d'
_symmetry_Int_Tables_number 122
_symmetry_space_group_name_Hall 'I -4 2bw'
_cell_length_a 6.234
_cell_length_b 6.234
_cell_length_c 11.689
_cell_angle_alpha 90.00
_cell_angle_beta 90.00
_cell_angle_gamma 90.00
loop_
_atom_site_label
_atom_site_fract_x
_atom_site_fract_y
_atom_site_fract_z
Sn1 0.228 0.250 0.125
As1 0.000 0.000 0.500
Rh1 0.000 0.000 0.000
```


10.
First-principles (PBE-GGA) data for a geometry-optimized CdFeBr2 structure, as listed in Alexandria via LeMat-Bulk.

Computed properties:
Raw formation energy   0.340 eV/atom
Crystal system   tetragonal

The structure in CIF format:
```
data_CdFeBr2
_symmetry_space_group_name_H-M 'P 4/m m m'
_symmetry_Int_Tables_number 123
_symmetry_space_group_name_Hall '-P 4 2'
_cell_length_a 5.101
_cell_length_b 5.101
_cell_length_c 3.534
_cell_angle_alpha 90.00
_cell_angle_beta 90.00
_cell_angle_gamma 90.00
loop_
_atom_site_label
_atom_site_fract_x
_atom_site_fract_y
_atom_site_fract_z
Cd1 0.000 0.000 0.000
Fe1 0.500 0.500 0.000
Br1 0.000 0.500 0.500
```


11.
First-principles (PBE-GGA) data for a geometry-optimized HfMnW structure, as listed in Alexandria via LeMat-Bulk.

Computed properties:
Calculated formation energy   -0.19 eV per atom
Crystal system   orthorhombic

The structure in CIF format:
```
data_HfMnW
_symmetry_space_group_name_H-M 'I m m a'
_symmetry_Int_Tables_number 74
_symmetry_space_group_name_Hall '-I 2b 2'
_cell_length_a 5.233
_cell_length_b 5.251
_cell_length_c 7.153
_cell_angle_alpha 90.00
_cell_angle_beta 90.00
_cell_angle_gamma 90.00
loop_
_atom_site_label
_atom_site_fract_x
_atom_site_fract_y
_atom_site_fract_z
Hf1 0.000 0.250 0.122
Mn1 0.250 0.250 0.750
W1 0.000 0.000 0.500
```


12.
First-principles (PBE-GGA) data for a geometry-optimized NiSb4As structure, as listed in Alexandria via LeMat-Bulk.

Computed properties:
Raw formation energy   0.851 eV/atom
Crystal system   cubic

The structure in CIF format:
```
data_NiSb4As
_symmetry_space_group_name_H-M 'F -4 3 m'
_symmetry_Int_Tables_number 216
_symmetry_space_group_name_Hall 'F -4 2 3'
_cell_length_a 8.591
_cell_length_b 8.591
_cell_length_c 8.591
_cell_angle_alpha 90.00
_cell_angle_beta 90.00
_cell_angle_gamma 90.00
loop_
_atom_site_label
_atom_site_fract_x
_atom_site_fract_y
_atom_site_fract_z
Ni1 0.000 0.000 0.000
Sb1 0.125 0.125 0.625
As1 0.250 0.250 0.250
```


Number 1: calculated volume 14.00 Å³/atom. Number 2: calculated volume 27.19 Å³/atom. Number 3: calculated volume 29.39 Å³/atom. Number 4: calculated volume 15.93 Å³/atom. Number 5: calculated volume 20.86 Å³/atom. Number 6: calculated volume 16.85 Å³/atom. Number 7: calculated volume 29.30 Å³/atom. Number 8: calculated volume 17.54 Å³/atom. Number 9: calculated volume 28.39 Å³/atom. Number 10: calculated volume 22.99 Å³/atom. Number 11: calculated volume 16.38 Å³/atom. Number 12: calculated volume 26.42 Å³/atom.